# 1
A relaxed structure of RePOs2. Source: Alexandria via LeMat-Bulk, functional PBE.

Structure (POSCAR):
```
RePOs2
1.0
2.823 0.000 0.000
0.000 3.811 0.000
0.000 0.000 5.261
Re P Os
1 1 2
Cartesian
0.000 0.000 0.000
0.000 0.000 2.630
1.412 1.905 1.323
1.412 1.905 3.937
```

**SG**: Pmmm (47)
**Final energy**: -9.723 eV per atom

---

# 2
A relaxed structure of Na2ScBeAs. Source: Alexandria via LeMat-Bulk, functional PBE.

Structure (POSCAR):
```
Na2ScBeAs
1.0
5.384 0.000 0.000
0.000 5.384 0.000
0.000 0.000 4.098
Na Sc Be As
2 1 1 1
Cartesian
0.000 2.692 0.000
2.692 0.000 0.000
0.000 0.000 2.049
2.692 2.692 0.000
2.692 2.692 2.049
```

**SG**: P4/mmm (123)
**Final energy**: -3.041 eV per atom

---

Number 1: density of states at the Fermi level 3.00 states/eV/cell, formation energy 0.357 eV per atom. Number 2: density of states at the Fermi level 4.75 states/eV/cell, formation energy 0.428 eV per atom.